Entry 1:
Compound: Li5Ac2Zn3
Source: the Alexandria database
Functional: PBE-GGA
Structure: relaxed

Geometry as POSCAR:
```
Li5Ac2Zn3
1.0
4.448 0.000 0.000
0.000 4.448 0.000
0.000 0.000 12.259
Li Ac Zn
5 2 3
Cartesian
0.000 0.000 0.000 Li
0.000 0.000 6.130 Li
0.000 2.224 4.204 Li
2.224 0.000 8.055 Li
2.224 2.224 6.130 Li
0.000 2.224 9.713 Ac
2.224 0.000 2.546 Ac
0.000 2.224 1.422 Zn
2.224 0.000 10.837 Zn
2.224 2.224 0.000 Zn
```

## Properties
**SG**: P-4m2
**E_tot**: -22.403 eV per cell
**N(E_F)**: 0.8823 states/eV per atom
**Size of the total moment**: 0.00 μB/f.u.
**Crystal system**: tetragonal

Entry 2:
Compound: Pu2NpGe
Source: the Alexandria database
Functional: PBE-GGA
Structure: relaxed

Geometry as POSCAR:
```
Pu2NpGe
1.0
3.720 0.000 0.000
0.000 3.720 0.000
0.000 0.000 6.114
Pu Np Ge
2 1 1
Cartesian
0.000 0.000 1.455 Pu
0.000 0.000 4.659 Pu
1.860 1.860 3.057 Np
1.860 1.860 0.000 Ge
```

## Properties
**SG**: P4/mmm
**E_tot**: -46.306 eV per cell
**N(E_F)**: 4.0415 states/eV per atom
**Size of the total moment**: 7.28 μB/f.u.
**ΔE to the lowest computed polymorph**: 28 kJ/mol of formula units
**Crystal system**: tetragonal

Entry 3:
Compound: ScTaMo2
Source: the Alexandria database
Functional: PBE-GGA
Structure: relaxed

Geometry as POSCAR:
```
ScTaMo2
1.0
1.449 0.837 9.853
-1.449 0.837 9.853
0.000 -1.673 9.853
Sc Ta Mo
1 1 2
Cartesian
0.000 0.000 0.000 Sc
0.000 0.000 14.779 Ta
0.000 0.000 7.382 Mo
0.000 0.000 22.176 Mo
```

## Properties
**SG**: R-3m
**E_tot**: -38.307 eV per cell
**N(E_F)**: 1.2377 states/eV per atom
**Size of the total moment**: 0.00 μB/f.u.
**ΔE to the lowest computed polymorph**: 144 kJ/mol of formula units
**Crystal system**: trigonal

Entry 4:
Compound: BaHfTaB2
Source: the Alexandria database
Functional: PBE-GGA
Structure: relaxed

Geometry as POSCAR:
```
BaHfTaB2
1.0
4.455 0.000 0.000
0.000 4.455 0.000
0.000 0.000 5.435
Ba Hf Ta B
1 1 1 2
Cartesian
0.000 0.000 0.000 Ba
2.227 2.227 0.000 Hf
0.000 0.000 2.717 Ta
0.000 2.227 2.717 B
2.227 0.000 2.717 B
```

## Properties
**SG**: P4/mmm
**E_tot**: -28.314 eV per cell
**N(E_F)**: 0.7379 states/eV per atom
**Size of the total moment**: 0.00 μB/f.u.
**Crystal system**: tetragonal

Entry 5:
Compound: YZnB
Source: the Alexandria database
Functional: PBE-GGA
Structure: relaxed

Geometry as POSCAR:
```
YZnB
1.0
5.934 0.000 0.000
0.000 5.434 0.000
0.000 0.000 6.363
Y Zn B
4 4 4
Cartesian
0.826 1.359 1.022 Y
2.141 4.076 4.204 Y
3.793 1.359 2.160 Y
5.107 4.076 5.341 Y
1.019 1.359 4.438 Zn
1.948 4.076 1.257 Zn
3.986 1.359 5.107 Zn
4.915 4.076 1.925 Zn
0.000 0.000 3.182 B
0.000 2.717 3.182 B
2.967 0.000 0.000 B
2.967 2.717 0.000 B
```

## Properties
**SG**: Pnma
**E_tot**: -55.762 eV per cell
**N(E_F)**: 0.4469 states/eV per atom
**Size of the total moment**: 0.00 μB/f.u.
**ΔE to the lowest computed polymorph**: 154 kJ/mol of formula units
**Crystal system**: orthorhombic

Entry 6:
Compound: CuNiSe2
Source: the Alexandria database
Functional: PBE-GGA
Structure: relaxed

Geometry as POSCAR:
```
CuNiSe2
1.0
3.579 0.000 0.000
0.000 3.579 0.000
0.000 0.000 5.058
Cu Ni Se
1 1 2
Cartesian
0.000 0.000 0.000 Cu
1.789 1.789 2.529 Ni
0.000 0.000 2.529 Se
1.789 1.789 0.000 Se
```

## Properties
**SG**: P4/mmm
**E_tot**: -17.190 eV per cell
**N(E_F)**: 0.6743 states/eV per atom
**Size of the total moment**: 0.00 μB/f.u.
**Crystal system**: tetragonal
**Formation energy from raw total energies**: -0.086 eV per atom

Entry 7:
Compound: LaSc2Mn
Source: the Alexandria database
Functional: PBE-GGA
Structure: relaxed

Geometry as POSCAR:
```
LaSc2Mn
1.0
1.668 0.963 9.662
-1.668 0.963 9.662
0.000 -1.926 9.662
La Sc Mn
1 2 1
Cartesian
0.000 0.000 0.000 La
0.000 0.000 6.600 Sc
0.000 0.000 22.387 Sc
0.000 0.000 14.494 Mn
```

## Properties
**SG**: R-3m
**E_tot**: -25.629 eV per cell
**N(E_F)**: 1.2349 states/eV per atom
**Size of the total moment**: 0.78 μB/f.u.
**ΔE to the lowest computed polymorph**: 78 kJ/mol of formula units
**Crystal system**: trigonal